Material: Pr2SmTm3Bi6
Method: DFT, PBE
State: optimized geometry

- Calculated density: 9.3 g/cm3
- Space-group type: C2/m
- Total magnetic moment: 0.00 μB/f.u.
- Calculated formation energy: -0.86 eV per atom
- E_tot: -5.109 eV/atom

Cell lengths 10.108, 10.108, 9.043 Å; angles 102.73, 102.73, 25.88 degrees
Positions (direct):
Pr 0.166 0.166 0.333
Pr 0.834 0.834 0.667
Sm 0.500 0.500 0.000
Tm 0.167 0.167 0.833
Tm 0.500 0.500 0.500
Tm 0.833 0.833 0.167
Bi 0.004 0.004 0.746
Bi 0.332 0.332 0.926
Bi 0.336 0.336 0.409
Bi 0.664 0.664 0.591
Bi 0.668 0.668 0.074
Bi 0.996 0.996 0.254